A geometry-optimized YCuSiPt structure. Source: the Open Quantum Materials Database, functional PBE.

Computed properties:
Excess energy over the best structure of this formula in the dataset, kJ per mole of atoms: 0.00
Total magnetic moment, μB per atom: 0.000
Space-group type: F-43m, No. 216

Lattice parameters (Å, degrees): 4.5828 4.5828 4.5828 60.00 60.00 60.00
With the nearest neighbours (Å) after each atom.
Atoms (fractional coordinates):
Y  0.0000  0.0000  0.0000  4 Cu 2.81, 4 Pt 2.81
Cu  0.7500  0.7500  0.7500  4 Si 2.81, 4 Y 2.81
Si  0.5000  0.5000  0.5000  4 Cu 2.81, 4 Pt 2.81
Pt  0.2500  0.2500  0.2500  4 Si 2.81, 4 Y 2.81



A geometry-optimized TlCdTcNi structure. Source: the Open Quantum Materials Database, functional PBE.

Computed properties:
Total DFT energy (no corrections), eV per cell: -17.0
Total magnetic moment, μB per atom: 0.281
Space-group type: F-43m, No. 216

Lattice parameters (Å, degrees): 4.5876 4.5876 4.5876 60.00 60.00 60.00
With the nearest neighbours (Å) after each atom.
Atoms (fractional coordinates):
Tl  0.0000  0.0000  0.0000  4 Tc 2.81, 4 Ni 2.81
Cd  0.5000  0.5000  0.5000  4 Tc 2.81, 4 Ni 2.81
Tc  0.7500  0.7500  0.7500  4 Cd 2.81, 4 Tl 2.81
Ni  0.2500  0.2500  0.2500  4 Cd 2.81, 4 Tl 2.81



A geometry-optimized Nd4AsI5 structure. Source: the Open Quantum Materials Database, functional PBE.

Computed properties:
Total DFT energy (no corrections), eV per cell: -45.1
Total magnetic moment, μB per atom: 0.002
Space-group type: C2/m, No. 12

Lattice parameters (Å, degrees): 10.0117 10.0117 9.0592 102.42 102.42 24.79
With the nearest neighbours (Å) after each atom.
Atoms (fractional coordinates):
Nd  0.9995  0.9995  0.2135  2 As 2.89, 1 I 3.21
Nd  0.0005  0.0005  0.7865  2 As 2.89, 1 I 3.21
Nd  0.3523  0.3523  0.9265  1 As 2.82
Nd  0.6477  0.6477  0.0735  1 As 2.82
As  0.5000  0.5000  0.0000  6 Nd 2.82-2.89
I  0.1661  0.1661  0.3385  3 Nd 3.18-3.21
I  0.1713  0.1713  0.8237  4 Nd 3.23-3.46
I  0.5000  0.5000  0.5000  4 Nd 3.37
I  0.8287  0.8287  0.1763  4 Nd 3.23-3.46
I  0.8339  0.8339  0.6615  3 Nd 3.18-3.21



A geometry-optimized Zn2CuPt structure. Source: the Open Quantum Materials Database, functional PBE.

Computed properties:
Formation energy, eV/f.u.: -1.3
Total magnetic moment, μB per atom: 0.000
Space-group type: Cmmm, No. 65

Lattice parameters (Å, degrees): 4.5721 4.5721 2.7913 90.00 90.00 107.85
With the nearest neighbours (Å) after each atom.
Atoms (fractional coordinates):
Zn  0.0000  0.5000  0.0000  4 Pt 2.68, 4 Cu 2.68, 4 Zn 2.69-2.79
Zn  0.5000  0.0000  0.0000  4 Pt 2.68, 4 Cu 2.68, 4 Zn 2.69-2.79
Cu  0.0000  0.0000  0.5000  8 Zn 2.68, 2 Pt 2.69, 2 Cu 2.79
Pt  0.5000  0.5000  0.5000  8 Zn 2.68, 2 Cu 2.69, 2 Pt 2.79